# Li3ReH8

Li3ReH8 after structural relaxation (PBE, Alexandria via LeMat-Bulk).

Computed properties:
As for the space-group type: I-42m (121). The calculation puts the calculated volume at 7.50 A^3/atom. The energy comes out at -48.4 eV per cell. The calculation puts the density of states at the Fermi level at 0.000 states/eV per cell.

abc: 4.985 5.052 4.985
angles: 60.44 90.00 119.56
Sites, in units of the cell vectors:
Li 0.750 0.500 0.750
Li 0.250 0.500 0.250
Li 0.500 0.000 0.500
Re 0.000 0.000 0.000
H 0.330 0.385 0.945
H 0.055 0.385 0.670
H 0.670 0.615 0.330
H 0.945 0.615 0.055
H 0.701 0.873 0.829
H 0.171 0.873 0.299
H 0.299 0.127 0.701
H 0.829 0.127 0.171